Here is a geometry-optimized Zn2RePt structure from the Alexandria database. Energies are from GGA-PBE.

abc: 7.0048 7.0048 5.2536
angles: 90.00 90.00 90.00
Space group I-42d (No. 122)
Asymmetric unit:
Zn  0.2429  0.2500  0.1250 [8 per cell]
Re  0.0000  0.0000  0.5000 [4 per cell]
Pt  0.0000  0.0000  0.0000 [4 per cell]

Results
For the formation energy, the calculation gives 0.536 eV per atom. Its crystal system is tetragonal. For the energy relative to the lowest polymorph listed for this composition, the calculation gives 609 meV/atom.